Record 1
DFT (PBE-GGA) results for a geometry-optimized YTc2 structure.

ΔE to the lowest computed polymorph = 2.77 eV/f.u.
final energy = -8.317 eV/atom
formation energy = 0.7487 eV/atom
calculated density = 8.065 Mg/m³

Cell lengths 6.7132, 6.7132, 4.5090 Å; angles 90.00, 90.00, 120.00 degrees
Space group P-62m (No. 189)
Asymmetric unit:
Y 0.0000 0.0000 0.0000
Y 0.3333 0.6667 0.5000
Tc 0.0000 0.2217 0.5000
Tc 0.0000 0.4838 0.0000

Record 2
DFT (PBE-GGA) results for a geometry-optimized YTc2 structure.

ΔE to the lowest computed polymorph = 0.91 eV/f.u.
final energy = -8.939 eV/atom
formation energy = 0.1262 eV/atom
calculated density = 8.552 Mg/m³

Cell lengths 3.265, 14.431, 4.696 Å; angles 90.00, 90.00, 90.00 degrees
Space group Cmcm (No. 63)
Asymmetric unit:
Y 0.000 0.084 0.250
Tc 0.000 0.243 0.750
Tc 0.000 0.394 0.250

Record 3
DFT (PBE-GGA) results for a geometry-optimized YTc structure.

final energy = -8.102 eV/atom
formation energy = 0.3133 eV/atom
calculated density = 6.121 Mg/m³

Cell lengths 3.7155, 3.7155, 8.4817 Å; angles 90.00, 90.00, 120.00 degrees
Space group P-3m1 (No. 164)
Asymmetric unit:
Y 0.3333 0.6667 0.3236
Tc 0.3333 0.6667 0.9351

Record 4
DFT (PBE-GGA) results for a geometry-optimized YTc3 structure.

ΔE to the lowest computed polymorph = 1.40 eV/f.u.
final energy = -8.857 eV/atom
formation energy = 0.5335 eV/atom
calculated density = 9.194 Mg/m³

Cell lengths 4.105, 4.105, 4.105 Å; angles 90.00, 90.00, 90.00 degrees
Space group Pm-3m (No. 221)
Asymmetric unit:
Y 0.000 0.000 0.000
Tc 0.000 0.500 0.500

Record 5
DFT (PBE-GGA) results for a geometry-optimized YTc structure.

final energy = -8.059 eV/atom
formation energy = 0.3556 eV/atom
calculated density = 6.820 Mg/m³

Cell lengths 10.869, 10.869, 3.082 Å; angles 90.00, 90.00, 90.00 degrees
Space group I4/m (No. 87)
Asymmetric unit:
Y 0.136 0.662 0.000
Tc 0.061 0.143 0.000

Record 6
DFT (PBE-GGA) results for a geometry-optimized YTc3 structure.

ΔE to the lowest computed polymorph = 0.92 eV/f.u.
final energy = -8.977 eV/atom
formation energy = 0.4139 eV/atom
calculated density = 9.264 Mg/m³

Cell lengths 2.9446, 2.9446, 9.1402 Å; angles 90.00, 90.00, 120.00 degrees
Space group P-6m2 (No. 187)
Asymmetric unit:
Y 0.0000 0.0000 0.0000
Tc 0.0000 0.0000 0.5000
Tc 0.6667 0.3333 0.2790

Record 7
DFT (PBE-GGA) results for a geometry-optimized YTc structure.

final energy = -8.215 eV/atom
formation energy = 0.2005 eV/atom
calculated density = 7.067 Mg/m³

Cell lengths 5.574, 8.861, 14.226 Å; angles 90.00, 90.00, 90.00 degrees
Space group Fddd (No. 70, origin choice 2)
Asymmetric unit:
Y 0.125 0.293 0.125
Tc 0.125 0.125 0.543

Record 8
DFT (PBE-GGA) results for a geometry-optimized YTc3 structure.

ΔE to the lowest computed polymorph = 1.00 eV/f.u.
final energy = -8.958 eV/atom
formation energy = 0.4330 eV/atom
calculated density = 9.290 Mg/m³

Cell lengths 2.8934, 2.8934, 28.3196 Å; angles 90.00, 90.00, 120.00 degrees
Space group R-3m (No. 166, hexagonal axes)
Asymmetric unit:
Y 0.0000 0.0000 0.0000
Tc 0.0000 0.0000 0.2401
Tc 0.0000 0.0000 0.5000